1.
DFT (GGA-PBE) results for an optimized crystal structure of Th8Tc3Hg2.

Cell and atoms, written as POSCAR:
```
Th8Tc3Hg2
1.0
-4.498 2.532 -0.535
-0.491 -2.644 -8.391
-3.792 -5.700 4.902
Tc Th Hg
3 8 2
Direct
0.000 0.216 0.939 Tc
0.000 0.784 0.061 Tc
0.500 0.000 0.000 Tc
0.000 0.131 0.231 Th
0.000 0.585 0.251 Th
0.000 0.869 0.769 Th
0.500 0.091 0.706 Th
0.500 0.909 0.294 Th
0.000 0.415 0.749 Th
0.500 0.649 0.896 Th
0.500 0.351 0.104 Th
0.500 0.672 0.512 Hg
0.500 0.328 0.488 Hg
```

* volume: 28.0 Å³/atom
* ΔE_f: -0.031 eV per atom
* ρ: 11.6 g/cm3
* electronic total energy: -7.036 eV/atom

***

2.
DFT (GGA-PBE) results for an optimized crystal structure of Sc2Se.

Cell and atoms, written as POSCAR:
```
Sc2Se
1.0
-5.279 -2.564 -1.013
5.169 -0.421 2.928
-2.514 3.239 4.904
Sc Se
4 2
Direct
0.790 0.210 0.922 Sc
0.522 0.478 0.725 Sc
0.210 0.790 0.422 Sc
0.478 0.522 0.225 Sc
0.886 0.114 0.524 Se
0.114 0.886 0.024 Se
```

* ΔE_f (raw): -0.955 eV per atom
* volume: 21.5 Å³/atom
* ρ: 4.3 g/cm3
* electronic total energy: -6.337 eV/atom

***

3.
DFT (GGA-PBE) results for an optimized crystal structure of La6Y2Pu.

Cell and atoms, written as POSCAR:
```
La6Y2Pu
1.0
9.121 -0.372 1.722
0.315 7.617 3.976
-1.070 0.253 8.864
Y Pu La
4 2 12
Direct
0.339 0.646 0.901 Y
0.166 0.185 0.270 Y
0.661 0.354 0.099 Y
0.834 0.815 0.730 Y
0.781 0.100 0.887 Pu
0.219 0.900 0.113 Pu
0.611 0.767 0.098 La
0.389 0.233 0.902 La
0.000 0.642 0.114 La
0.475 0.926 0.359 La
0.847 0.300 0.466 La
0.864 0.936 0.287 La
0.525 0.074 0.641 La
0.000 0.358 0.886 La
0.153 0.700 0.534 La
0.651 0.538 0.636 La
0.136 0.064 0.713 La
0.349 0.462 0.364 La
```

* volume: 34.6 Å³/atom
* ΔE_f: 0.129 eV per atom
* ρ: 6.7 g/cm3
* electronic total energy: -6.185 eV/atom

***

4.
DFT (GGA-PBE) results for an optimized crystal structure of KLa2Rh.

Cell and atoms, written as POSCAR:
```
KLa2Rh
1.0
-2.961 1.331 -5.382
3.981 -4.791 -0.835
-2.019 -2.713 -0.571
K La Rh
1 2 1
Direct
0.000 0.500 0.500 K
0.500 0.500 0.000 La
0.000 0.000 0.000 La
0.500 0.000 0.500 Rh
```

* volume: 28.5 Å³/atom
* ΔE_f: 0.394 eV per atom
* ρ: 6.1 g/cm3
* electronic total energy: -4.182 eV/atom

***

5.
DFT (GGA-PBE) results for an optimized crystal structure of TaBAs3.

Cell and atoms, written as POSCAR:
```
TaBAs3
1.0
-1.763 -3.880 0.902
0.623 -1.243 -4.129
3.935 -1.542 1.058
As Ta B
3 1 1
Direct
0.500 0.000 0.000 As
0.000 0.500 0.000 As
0.000 0.000 0.500 As
0.500 0.500 0.500 Ta
0.000 0.000 0.000 B
```

* volume: 16.5 Å³/atom
* ΔE_f: 0.896 eV per atom
* ρ: 8.4 g/cm3
* electronic total energy: -5.600 eV/atom

***

6.
DFT (GGA-PBE) results for an optimized crystal structure of BaTiIn2Ge.

Cell and atoms, written as POSCAR:
```
BaTiIn2Ge
1.0
-3.159 -0.204 -5.116
-0.367 -5.605 0.451
-5.105 0.586 3.129
Ba Ge In Ti
1 1 2 1
Direct
0.000 0.000 0.000 Ba
0.000 0.500 0.000 Ge
0.500 0.000 0.000 In
0.000 0.000 0.500 In
0.500 0.500 0.500 Ti
```

* volume: 40.8 Å³/atom
* ΔE_f: 1.529 eV per atom
* ρ: 4.0 g/cm3
* electronic total energy: -2.453 eV/atom